Tl2NiSeO4: optimized geometry, PBE with a Hubbard U.

Lattice parameters (Å, degrees): 6.6029 6.6029 6.6950 115.63 115.63 87.79
With the nearest neighbours (Å) after each atom.
Element x y z (fractional)
Tl  0.0000  0.0000  0.0000  4 O 2.61-2.72
Tl  0.0000  0.0000  0.5000  4 O 2.61-2.72
Tl  0.0000  0.5000  0.0000  2 O 2.16
Tl  0.5000  0.0000  0.5000  2 O 2.16
Ni  0.5000  0.5000  0.0000  6 O 2.14-2.18
Ni  0.5000  0.5000  0.5000  6 O 2.14-2.18
Se  0.0000  0.5000  0.5000  4 O 2.14-2.16
Se  0.5000  0.0000  0.0000  4 O 2.14-2.16
O  0.2024  0.6490  0.4001  1 Ni 2.14, 1 Se 2.16, 1 Tl 2.16
O  0.2949  0.3468  0.5997  1 Se 2.14, 2 Ni 2.16-2.18
O  0.3468  0.2949  0.0997  1 Se 2.14, 2 Ni 2.16-2.18
O  0.3510  0.7976  0.0999  1 Ni 2.14, 1 Se 2.16, 1 Tl 2.16
O  0.6490  0.2024  0.9001  1 Ni 2.14, 1 Se 2.16, 1 Tl 2.16
O  0.6532  0.7051  0.9003  1 Se 2.14, 2 Ni 2.16-2.18
O  0.7051  0.6532  0.4003  1 Se 2.14, 2 Ni 2.16-2.18
O  0.7976  0.3510  0.5999  1 Ni 2.14, 1 Se 2.16, 1 Tl 2.16

Results
DFT total energy = -4.270 eV/atom